(one)
7
Lattice="2.341 1.351 7.876 -2.341 1.351 7.876 0.000 -2.703 7.876" Properties=species:S:1:pos:R:3 comment="Mg4SnAu2, relaxed, DFT PBE" space_group=R-3m pbc="T T T"
Mg 0.000 0.000 2.605
Mg 0.000 0.000 8.715
Mg 0.000 0.000 14.914
Mg 0.000 0.000 21.024
Sn 0.000 0.000 11.815
Au 0.000 0.000 6.007
Au 0.000 0.000 17.622

---

(two)
7
Lattice="2.227 1.286 9.443 -2.227 1.286 9.443 0.000 -2.571 9.443" Properties=species:S:1:pos:R:3 comment="Mg4SnAu2, relaxed, DFT PBE" space_group=R-3m pbc="T T T"
Mg 0.000 0.000 3.113
Mg 0.000 0.000 8.548
Mg 0.000 0.000 19.782
Mg 0.000 0.000 25.217
Sn 0.000 0.000 14.165
Au 0.000 0.000 11.328
Au 0.000 0.000 17.002

---

How do the energies compare? Relative to the most stable structure, in eV/atom: (one) 0.000; (two) 0.039.

---

(one)
10
Lattice="4.318 0.000 0.000 0.000 5.745 0.000 0.000 0.000 8.337" Properties=species:S:1:pos:R:3 comment="MgSnAu3, relaxed, DFT PBE" space_group=Pmmn pbc="T T T"
Mg 1.079 1.436 0.536
Mg 3.238 4.308 7.801
Sn 1.079 1.436 3.680
Sn 3.238 4.308 4.657
Au 1.079 2.926 6.182
Au 1.079 4.308 1.131
Au 1.079 5.691 6.182
Au 3.238 0.054 2.156
Au 3.238 1.436 7.206
Au 3.238 2.818 2.156

---

(two)
5
Lattice="4.959 0.000 0.000 0.000 4.959 0.000 0.000 0.000 4.959" Properties=species:S:1:pos:R:3 comment="MgSnAu3, relaxed, DFT PBE" space_group=Pm-3m pbc="T T T"
Mg 0.000 0.000 0.000
Sn 2.479 2.479 2.479
Au 0.000 0.000 2.479
Au 0.000 2.479 0.000
Au 2.479 0.000 0.000

---

How do the energies compare? Relative to the most stable structure, in eV/atom: (one) 0.000; (two) 0.566.

---

(one)
11
Lattice="7.239 -3.296 0.000 7.239 3.296 0.000 -1.367 0.000 4.383" Properties=species:S:1:pos:R:3 comment="Mg2SnAu8, relaxed, DFT PBE" space_group=C2/m pbc="T T T"
Mg 2.491 0.000 0.846
Mg 10.620 0.000 3.538
Sn 6.556 0.000 2.192
Au 4.657 1.859 1.529
Au 7.239 1.878 0.000
Au 3.591 0.000 3.592
Au 8.454 1.859 2.854
Au 4.657 -1.859 1.529
Au 9.520 0.000 0.791
Au 7.239 -1.878 0.000
Au 8.454 -1.859 2.854

---

(two)
11
Lattice="3.989 -6.701 0.000 3.989 6.701 0.000 -3.497 0.000 4.030" Properties=species:S:1:pos:R:3 comment="Mg2SnAu8, relaxed, DFT PBE" space_group=C2/m pbc="T T T"
Mg 3.989 4.122 0.000
Mg 3.989 -4.122 0.000
Sn 2.241 0.000 2.015
Au -0.431 0.000 1.301
Au -0.828 1.603 3.575
Au 2.241 2.922 2.015
Au -0.828 -1.603 3.575
Au 5.310 1.603 0.455
Au 2.241 -2.922 2.015
Au 5.310 -1.603 0.455
Au 4.913 0.000 2.729

---

How do the energies compare? Relative to the most stable structure, in eV/atom: (one) 0.000; (two) 0.018.